# 1
Entry from the Alexandria database: an optimized crystal structure of HoPu2Ir9 (PBE-GGA).

Lattice parameters (Å, degrees): 5.2925 5.2925 26.3646 90.00 90.00 120.00
Space group R-3m (No. 166, hexagonal axes)
Asymmetric unit:
1 Ho 0.0000 0.0000 0.0000 [3 per cell]
2 Pu 0.0000 0.0000 0.1398 [6 per cell]
3 Ir 0.0000 0.0000 0.3331 [6 per cell]
4 Ir 0.0000 0.0000 0.5000 [3 per cell]
5 Ir 0.0020 0.5010 0.9171 [18 per cell]


# 2
Entry from the Alexandria database: an optimized crystal structure of HoPuIr4 (PBE-GGA).

Lattice parameters (Å, degrees): 7.573 7.573 7.573 90.00 90.00 90.00
Space group F-43m (No. 216)
Asymmetric unit:
1 Ho 0.000 0.000 0.000 [4 per cell]
2 Pu 0.250 0.250 0.750 [4 per cell]
3 Ir 0.125 0.125 0.375 [16 per cell]


# 3
Entry from the Alexandria database: an optimized crystal structure of Ho2PuIr9 (PBE-GGA).

Lattice parameters (Å, degrees): 5.3001 5.3001 26.3049 90.00 90.00 120.00
Space group R-3m (No. 166, hexagonal axes)
Asymmetric unit:
1 Ho 0.0000 0.0000 0.1396 [6 per cell]
2 Pu 0.0000 0.0000 0.0000 [3 per cell]
3 Ir 0.0000 0.0000 0.3332 [6 per cell]
4 Ir 0.0000 0.0000 0.5000 [3 per cell]
5 Ir 0.0000 0.5000 0.0825 [18 per cell]


# 4
Entry from the Alexandria database: an optimized crystal structure of HoPuIr (PBE-GGA).

Energy above the most stable polymorph in this dataset in eV per atom: 0.318

Lattice parameters (Å, degrees): 4.7993 4.7993 3.2486 90.00 90.00 120.00
Space group P3m1 (No. 156)
Asymmetric unit:
1 Ho 0.0000 0.0000 0.0000 [1 per cell]
2 Pu 0.3333 0.6667 0.3951 [1 per cell]
3 Ir 0.6667 0.3333 0.6552 [1 per cell]


# 5
Entry from the Alexandria database: an optimized crystal structure of HoPuIr2 (PBE-GGA).

Lattice parameters (Å, degrees): 5.604 5.611 11.138 90.00 104.64 90.00
Space group P2/c (No. 13)
Asymmetric unit:
1 Ho 0.198 0.123 0.146 [4 per cell]
2 Pu 0.303 0.377 0.858 [4 per cell]
3 Ir 0.170 0.377 0.592 [4 per cell]
4 Ir 0.331 0.127 0.415 [4 per cell]


# 6
Entry from the Alexandria database: an optimized crystal structure of Ho2Pu2Ir3 (PBE-GGA).

Lattice parameters (Å, degrees): 4.329 5.591 7.083 96.32 107.72 90.07
Space group P-1 (No. 2)
Asymmetric unit:
1 Ho 0.144 0.104 0.289 [2 per cell]
2 Pu 0.397 0.405 0.796 [2 per cell]
3 Ir 0.229 0.656 0.457 [2 per cell]
4 Ir 0.500 0.000 0.000 [1 per cell]


# 7
Entry from the Alexandria database: an optimized crystal structure of HoPuIr2 (PBE-GGA).

Lattice parameters (Å, degrees): 4.975 4.975 3.231 90.00 90.00 90.00
Space group P4/mmm (No. 123)
Asymmetric unit:
1 Ho 0.000 0.000 0.000 [1 per cell]
2 Pu 0.500 0.500 0.000 [1 per cell]
3 Ir 0.000 0.500 0.500 [2 per cell]


# 8
Entry from the Alexandria database: an optimized crystal structure of HoPu2Ir (PBE-GGA).

Lattice parameters (Å, degrees): 3.6133 3.6133 29.9076 90.00 90.00 120.00
Space group R-3m (No. 166, hexagonal axes)
Asymmetric unit:
1 Ho 0.0000 0.0000 0.0000 [3 per cell]
2 Pu 0.0000 0.0000 0.1058 [6 per cell]
3 Ir 0.0000 0.0000 0.5000 [3 per cell]


# 9
Entry from the Alexandria database: an optimized crystal structure of HoPuIr (PBE-GGA).

Energy above the most stable polymorph in this dataset in eV per atom: 0.000

Lattice parameters (Å, degrees): 7.1930 7.1930 4.6803 90.00 90.00 120.00
Space group P-62m (No. 189)
Asymmetric unit:
1 Ho 0.0000 0.5814 0.0000 [3 per cell]
2 Pu 0.0000 0.2499 0.5000 [3 per cell]
3 Ir 0.0000 0.0000 0.0000 [1 per cell]
4 Ir 0.3333 0.6667 0.5000 [2 per cell]


# 10
Entry from the Alexandria database: an optimized crystal structure of Ho3PuIr4 (PBE-GGA).

Lattice parameters (Å, degrees): 3.264 4.919 9.933 90.00 90.00 90.00
Space group Pmmm (No. 47)
Asymmetric unit:
1 Ho 0.000 0.000 0.000 [1 per cell]
2 Ho 0.000 0.500 0.248 [2 per cell]
3 Pu 0.000 0.000 0.500 [1 per cell]
4 Ir 0.500 0.000 0.248 [2 per cell]
5 Ir 0.500 0.500 0.000 [1 per cell]
6 Ir 0.500 0.500 0.500 [1 per cell]


# 11
Entry from the Alexandria database: an optimized crystal structure of HoPuIr (PBE-GGA).

Energy above the most stable polymorph in this dataset in eV per atom: 0.180

Lattice parameters (Å, degrees): 3.464 3.464 12.012 90.00 90.00 90.00
Space group I4mm (No. 107)
Asymmetric unit:
1 Ho 0.000 0.000 0.000 [2 per cell]
2 Pu 0.000 0.000 0.729 [2 per cell]
3 Ir 0.000 0.000 0.366 [2 per cell]


# 12
Entry from the Alexandria database: an optimized crystal structure of HoPu2Ir3 (PBE-GGA).

Lattice parameters (Å, degrees): 3.971 5.613 11.937 90.00 90.00 90.00
Space group Immm (No. 71)
Asymmetric unit:
1 Ho 0.000 0.000 0.000 [2 per cell]
2 Pu 0.000 0.000 0.338 [4 per cell]
3 Ir 0.000 0.500 0.000 [2 per cell]
4 Ir 0.000 0.500 0.320 [4 per cell]


# 13
Entry from the Alexandria database: an optimized crystal structure of HoPu3Ir3 (PBE-GGA).

Lattice parameters (Å, degrees): 8.834 10.363 6.987 90.00 91.17 90.00
Space group C2/m (No. 12)
Asymmetric unit:
1 Ho 0.238 0.000 0.108 [4 per cell]
2 Pu 0.000 0.261 0.000 [4 per cell]
3 Pu 0.000 0.315 0.500 [4 per cell]
4 Pu 0.160 0.000 0.597 [4 per cell]
5 Ir 0.062 0.500 0.207 [4 per cell]
6 Ir 0.247 0.241 0.745 [8 per cell]


# 14
Entry from the Alexandria database: an optimized crystal structure of HoPuTcIr (PBE-GGA).

Lattice parameters (Å, degrees): 6.794 6.794 6.794 90.00 90.00 90.00
Space group F-43m (No. 216)
Asymmetric unit:
1 Ho 0.000 0.000 0.000 [4 per cell]
2 Pu 0.000 0.000 0.500 [4 per cell]
3 Tc 0.250 0.250 0.250 [4 per cell]
4 Ir 0.250 0.250 0.750 [4 per cell]


# 15
Entry from the Alexandria database: an optimized crystal structure of Ho3Ir2Rh (PBE-GGA).

Energy above the most stable polymorph in this dataset in eV per atom: 0.008

Lattice parameters (Å, degrees): 3.416 3.416 10.218 90.00 90.00 90.00
Space group P4/mmm (No. 123)
Asymmetric unit:
1 Ho 0.000 0.000 0.000 [1 per cell]
2 Ho 0.000 0.000 0.332 [2 per cell]
3 Ir 0.500 0.500 0.168 [2 per cell]
4 Rh 0.500 0.500 0.500 [1 per cell]


# 16
Entry from the Alexandria database: an optimized crystal structure of Ho3IrRh2 (PBE-GGA).

Energy above the most stable polymorph in this dataset in eV per atom: 0.000

Lattice parameters (Å, degrees): 4.8255 4.8255 11.7953 90.00 90.00 120.00
Space group P-3m1 (No. 164)
Asymmetric unit:
1 Ho 0.0000 0.0000 0.2490 [2 per cell]
2 Ho 0.3333 0.6667 0.4156 [2 per cell]
3 Ho 0.3333 0.6667 0.9167 [2 per cell]
4 Ir 0.3333 0.6667 0.1665 [2 per cell]
5 Rh 0.0000 0.0000 0.0000 [1 per cell]
6 Rh 0.0000 0.0000 0.5000 [1 per cell]
7 Rh 0.3333 0.6667 0.6647 [2 per cell]


# 17
Entry from the Alexandria database: an optimized crystal structure of Ho8Ir2Rh (PBE-GGA).

Lattice parameters (Å, degrees): 8.338 12.444 5.879 90.00 108.57 90.00
Space group Cm (No. 8)
Asymmetric unit:
1 Ho 0.000 0.000 0.000 [2 per cell]
2 Ho 0.064 0.370 0.789 [4 per cell]
3 Ho 0.152 0.130 0.591 [4 per cell]
4 Ho 0.221 0.500 0.370 [2 per cell]
5 Ho 0.361 0.216 0.185 [4 per cell]
6 Ir 0.356 0.312 0.684 [4 per cell]
7 Rh 0.362 0.000 0.045 [2 per cell]


# 18
Entry from the Alexandria database: an optimized crystal structure of Ho6IrRh5 (PBE-GGA).

Lattice parameters (Å, degrees): 4.798 6.887 7.589 90.00 108.34 90.00
Space group P2/m (No. 10)
Asymmetric unit:
1 Ho 0.000 0.249 0.000 [2 per cell]
2 Ho 0.334 0.250 0.668 [4 per cell]
3 Ir 0.500 0.000 0.000 [1 per cell]
4 Rh 0.167 0.500 0.333 [2 per cell]
5 Rh 0.168 0.000 0.336 [2 per cell]
6 Rh 0.500 0.500 0.000 [1 per cell]


# 19
Entry from the Alexandria database: an optimized crystal structure of Ho3IrRh (PBE-GGA).

Energy above the most stable polymorph in this dataset in eV per atom: 0.000

Lattice parameters (Å, degrees): 18.040 8.448 6.459 90.00 110.70 90.00
Space group C2/c (No. 15)
Asymmetric unit:
1 Ho 0.048 0.245 0.049 [8 per cell]
2 Ho 0.145 0.393 0.610 [8 per cell]
3 Ho 0.185 0.035 0.929 [8 per cell]
4 Ir 0.213 0.301 0.261 [8 per cell]
5 Rh 0.000 0.003 0.750 [4 per cell]
6 Rh 0.000 0.500 0.250 [4 per cell]


# 20
Entry from the Alexandria database: an optimized crystal structure of HoIrRh2 (PBE-GGA).

Energy above the most stable polymorph in this dataset in eV per atom: 0.000

Lattice parameters (Å, degrees): 4.069 4.069 3.981 90.00 90.00 90.00
Space group P4/mmm (No. 123)
Asymmetric unit:
1 Ho 0.000 0.000 0.000 [1 per cell]
2 Ir 0.500 0.500 0.000 [1 per cell]
3 Rh 0.000 0.500 0.500 [2 per cell]


# 21
Entry from the Alexandria database: an optimized crystal structure of Ho7Ir2Rh2 (PBE-GGA).

Lattice parameters (Å, degrees): 10.182 8.368 6.789 90.00 90.09 90.00
Space group C2/m (No. 12)
Asymmetric unit:
1 Ho 0.000 0.000 0.000 [2 per cell]
2 Ho 0.000 0.500 0.259 [4 per cell]
3 Ho 0.250 0.250 0.262 [8 per cell]
4 Ir 0.222 0.500 0.000 [4 per cell]
5 Rh 0.000 0.222 0.500 [4 per cell]


# 22
Entry from the Alexandria database: an optimized crystal structure of Ho6Ir2Rh (PBE-GGA).

Lattice parameters (Å, degrees): 6.574 7.323 11.364 90.00 122.96 90.00
Space group P2_1/c (No. 14)
Asymmetric unit:
1 Ho 0.084 0.047 0.243 [4 per cell]
2 Ho 0.234 0.673 0.077 [4 per cell]
3 Ho 0.388 0.171 0.064 [4 per cell]
4 Ir 0.310 0.119 0.767 [4 per cell]
5 Rh 0.500 0.000 0.500 [2 per cell]


# 23
Entry from the Alexandria database: an optimized crystal structure of Ho3IrRh2 (PBE-GGA).

Energy above the most stable polymorph in this dataset in eV per atom: 0.016

Lattice parameters (Å, degrees): 3.416 3.416 10.208 90.00 90.00 90.00
Space group P4/mmm (No. 123)
Asymmetric unit:
1 Ho 0.000 0.000 0.000 [1 per cell]
2 Ho 0.000 0.000 0.335 [2 per cell]
3 Ir 0.500 0.500 0.500 [1 per cell]
4 Rh 0.500 0.500 0.165 [2 per cell]


Number 1: total magnetization 8.1 μB/f.u., DFT total energy -118.51 eV per formula unit, V 213.2 Å³/f.u.. Number 2: total magnetization 4.8 μB/f.u., DFT total energy -58.43 eV per formula unit, V 108.6 Å³/f.u.. Number 3: total magnetization 4.3 μB/f.u., DFT total energy -109.64 eV per formula unit, V 213.3 Å³/f.u.. Number 4: total magnetization 5.6 μB/f.u., DFT total energy -28.52 eV per formula unit, V 64.8 Å³/f.u.. Number 5: total magnetization 4.6 μB/f.u., DFT total energy -39.21 eV per formula unit, V 84.7 Å³/f.u.. Number 6: total magnetization 10.2 μB/f.u., DFT total energy -68.19 eV per formula unit, V 162.2 Å³/f.u.. Number 7: total magnetization 4.8 μB/f.u., DFT total energy -39.05 eV per formula unit, V 80.0 Å³/f.u.. Number 8: total magnetization 11.2 μB/f.u., DFT total energy -41.59 eV per formula unit, V 112.7 Å³/f.u.. Number 9: total magnetization 5.6 μB/f.u., DFT total energy -29.48 eV per formula unit, V 69.9 Å³/f.u.. Number 10: total magnetization 4.7 μB/f.u., DFT total energy -69.27 eV per formula unit, V 159.5 Å³/f.u.. Number 11: total magnetization 5.8 μB/f.u., DFT total energy -28.94 eV per formula unit, V 72.1 Å³/f.u.. Number 12: total magnetization 8.8 μB/f.u., DFT total energy -62.35 eV per formula unit, V 133.0 Å³/f.u.. Number 13: total magnetization 15.1 μB/f.u., DFT total energy -77.03 eV per formula unit, V 159.9 Å³/f.u.. Number 14: total magnetization 3.9 μB/f.u., DFT total energy -39.37 eV per formula unit, V 78.4 Å³/f.u.. Number 15: total magnetization 0.1 μB/f.u., DFT total energy -44.01 eV per formula unit, V 119.3 Å³/f.u.. Number 16: total magnetization 0.0 μB/f.u., DFT total energy -42.73 eV per formula unit, V 118.9 Å³/f.u.. Number 17: total magnetization 0.0 μB/f.u., DFT total energy -67.16 eV per formula unit, V 289.1 Å³/f.u.. Number 18: total magnetization 0.0 μB/f.u., DFT total energy -83.94 eV per formula unit, V 238.0 Å³/f.u.. Number 19: total magnetization 0.0 μB/f.u., DFT total energy -33.65 eV per formula unit, V 115.1 Å³/f.u.. Number 20: total magnetization 0.0 μB/f.u., DFT total energy -30.14 eV per formula unit, V 65.9 Å³/f.u.. Number 21: total magnetization 0.0 μB/f.u., DFT total energy -70.47 eV per formula unit, V 289.2 Å³/f.u.. Number 22: total magnetization 0.0 μB/f.u., DFT total energy -58.42 eV per formula unit, V 229.5 Å³/f.u.. Number 23: total magnetization 0.1 μB/f.u., DFT total energy -42.63 eV per formula unit, V 119.1 Å³/f.u..